No. 1
## LaZn2Cu2 (PBE)

Data for a relaxed structure of LaZn2Cu2.

Cell and atoms, written as CIF:
```
data_LaZn2Cu2
_chemical_formula_sum 'La2 Zn4 Cu4'
_cell_length_a 4.149
_cell_length_b 4.149
_cell_length_c 10.813
_cell_angle_alpha 90.00
_cell_angle_beta 90.00
_cell_angle_gamma 90.00
_symmetry_space_group_name_H-M 'I 4/m m m'
_symmetry_Int_Tables_number 139
_symmetry_space_group_name_Hall '-I 4 2'
loop_
_atom_site_label
_atom_site_fract_x
_atom_site_fract_y
_atom_site_fract_z
La1 0.000 0.000 0.000
Zn1 0.000 0.500 0.250
Cu1 0.000 0.000 0.386
```

Results
Distance to the lowest polymorph of the same formula: 0.00 eV/f.u.
ΔH_f (0 K): -117 kJ/mol of formula units
D(E_F): 7.032 states/eV per cell
Total magnetic moment: 0.00 μB/cell
Crystal system: tetragonal
VASP energy: -3.38 eV per atom


No. 2
## La6Zn3Cu (PBE)

Data for a relaxed structure of La6Zn3Cu.

Cell and atoms, written as CIF:
```
data_La6Zn3Cu
_chemical_formula_sum 'La12 Zn6 Cu2'
_cell_length_a 9.681
_cell_length_b 5.194
_cell_length_c 11.829
_cell_angle_alpha 90.00
_cell_angle_beta 109.23
_cell_angle_gamma 90.00
_symmetry_space_group_name_H-M 'P 1 21/m 1'
_symmetry_Int_Tables_number 11
loop_
_symmetry_equiv_pos_as_xyz
'x,y,z'
'-x,-y,-z'
'-x,y+1/2,-z'
'x,-y+1/2,z'
loop_
_atom_site_label
_atom_site_fract_x
_atom_site_fract_y
_atom_site_fract_z
La1 0.009 0.250 0.402
La2 0.148 0.750 0.187
La3 0.220 0.250 0.008
La4 0.377 0.750 0.854
La5 0.384 0.250 0.359
La6 0.387 0.250 0.634
Zn1 0.047 0.750 0.876
Zn2 0.129 0.250 0.731
Zn3 0.262 0.750 0.474
Cu1 0.416 0.750 0.117
```

Results
ΔH_f (0 K): -173 kJ/mol of formula units
D(E_F): 22.321 states/eV per cell
Total magnetic moment: 0.00 μB/cell
Crystal system: monoclinic
VASP energy: -3.93 eV per atom


No. 3
## LaZn2Cu2 (PBE)

Data for a relaxed structure of LaZn2Cu2.

Cell and atoms, written as CIF:
```
data_LaZn2Cu2
_chemical_formula_sum 'La2 Zn4 Cu4'
_cell_length_a 7.741
_cell_length_b 7.741
_cell_length_c 2.900
_cell_angle_alpha 90.00
_cell_angle_beta 90.00
_cell_angle_gamma 90.00
_symmetry_space_group_name_H-M 'P 4/m b m'
_symmetry_Int_Tables_number 127
_symmetry_space_group_name_Hall '-P 4 2ab'
loop_
_atom_site_label
_atom_site_fract_x
_atom_site_fract_y
_atom_site_fract_z
La1 0.000 0.000 0.000
Zn1 0.165 0.335 0.500
Cu1 0.120 0.620 0.000
```

Results
Distance to the lowest polymorph of the same formula: 1.10 eV/f.u.
ΔH_f (0 K): -10 kJ/mol of formula units
D(E_F): 6.332 states/eV per cell
Total magnetic moment: 0.00 μB/cell
Crystal system: tetragonal
VASP energy: -3.15 eV per atom


No. 4
## LaZn7Cu5 (PBE)

Data for a relaxed structure of LaZn7Cu5.

Cell and atoms, written as CIF:
```
data_LaZn7Cu5
_chemical_formula_sum 'La2 Zn14 Cu10'
_cell_length_a 4.954
_cell_length_b 8.989
_cell_length_c 8.897
_cell_angle_alpha 90.00
_cell_angle_beta 90.00
_cell_angle_gamma 90.00
_symmetry_space_group_name_H-M 'I m m 2'
_symmetry_Int_Tables_number 44
loop_
_symmetry_equiv_pos_as_xyz
'x,y,z'
'-x,-y,z'
'-x,y,z'
'x,-y,z'
'x+1/2,y+1/2,z+1/2'
'-x+1/2,-y+1/2,z+1/2'
'-x+1/2,y+1/2,z+1/2'
'x+1/2,-y+1/2,z+1/2'
loop_
_atom_site_label
_atom_site_fract_x
_atom_site_fract_y
_atom_site_fract_z
La1 0.000 0.000 0.000
Zn1 0.000 0.000 0.355
Zn2 0.000 0.000 0.653
Zn3 0.000 0.278 0.505
Zn4 0.000 0.353 0.012
Zn5 0.000 0.500 0.734
Cu1 0.000 0.500 0.277
Cu2 0.250 0.250 0.257
```

Results
ΔH_f (0 K): -215 kJ/mol of formula units
D(E_F): 14.072 states/eV per cell
Total magnetic moment: 0.00 μB/cell
Crystal system: orthorhombic
VASP energy: -2.81 eV per atom


No. 5
## LaZn2Cu2 (PBE)

Data for a relaxed structure of LaZn2Cu2.

Cell and atoms, written as CIF:
```
data_LaZn2Cu2
_chemical_formula_sum 'La2 Zn4 Cu4'
_cell_length_a 4.521
_cell_length_b 4.521
_cell_length_c 9.132
_cell_angle_alpha 90.00
_cell_angle_beta 90.00
_cell_angle_gamma 90.00
_symmetry_space_group_name_H-M 'I 4/m m m'
_symmetry_Int_Tables_number 139
_symmetry_space_group_name_Hall '-I 4 2'
loop_
_atom_site_label
_atom_site_fract_x
_atom_site_fract_y
_atom_site_fract_z
La1 0.000 0.000 0.000
Zn1 0.000 0.000 0.364
Cu1 0.000 0.500 0.250
```

Results
Distance to the lowest polymorph of the same formula: 0.05 eV/f.u.
ΔH_f (0 K): -112 kJ/mol of formula units
D(E_F): 6.752 states/eV per cell
Total magnetic moment: 0.00 μB/cell
Crystal system: tetragonal
VASP energy: -3.36 eV per atom


No. 6
## LaZn9Cu2 (PBE)

Data for a relaxed structure of LaZn9Cu2.

Cell and atoms, written as CIF:
```
data_LaZn9Cu2
_chemical_formula_sum 'La4 Zn36 Cu8'
_cell_length_a 10.607
_cell_length_b 10.607
_cell_length_c 6.778
_cell_angle_alpha 90.00
_cell_angle_beta 90.00
_cell_angle_gamma 90.00
_symmetry_space_group_name_H-M 'I 41/a m d'
_symmetry_Int_Tables_number 141
loop_
_symmetry_equiv_pos_as_xyz
'x,y,z'
'-x,-y,-z'
'-y+1/4,x+3/4,z+1/4'
'y+1/4,-x+3/4,-z+1/4'
'-x+1/2,-y,z+1/2'
'x+1/2,y,-z+1/2'
'y+1/4,-x+1/4,z+3/4'
'-y+1/4,x+1/4,-z+3/4'
'x,-y,-z'
'-x,y,z'
'-y+1/4,-x+1/4,-z+3/4'
'y+1/4,x+1/4,z+3/4'
'-x+1/2,y,-z+1/2'
'x+1/2,-y,z+1/2'
'y+1/4,x+3/4,-z+1/4'
'-y+1/4,-x+3/4,z+1/4'
'x+1/2,y+1/2,z+1/2'
'-x+1/2,-y+1/2,-z+1/2'
'-y+3/4,x+1/4,z+3/4'
'y+3/4,-x+1/4,-z+3/4'
'-x,-y+1/2,z'
'x,y+1/2,-z'
'y+3/4,-x+3/4,z+1/4'
'-y+3/4,x+3/4,-z+1/4'
'x+1/2,-y+1/2,-z+1/2'
'-x+1/2,y+1/2,z+1/2'
'-y+3/4,-x+3/4,-z+1/4'
'y+3/4,x+3/4,z+1/4'
'-x,y+1/2,-z'
'x,-y+1/2,z'
'y+3/4,x+1/4,-z+3/4'
'-y+3/4,-x+1/4,z+3/4'
loop_
_atom_site_label
_atom_site_fract_x
_atom_site_fract_y
_atom_site_fract_z
La1 0.000 0.250 0.375
Zn1 0.000 0.250 0.875
Zn2 0.122 0.045 0.685
Cu1 0.000 0.000 0.000
```

Results
Distance to the lowest polymorph of the same formula: 0.00 eV/f.u.
ΔH_f (0 K): -299 kJ/mol of formula units
D(E_F): 10.780 states/eV per cell
Total magnetic moment: 0.00 μB/cell
Crystal system: tetragonal
VASP energy: -2.31 eV per atom


No. 7
## LaZn3Cu (PBE)

Data for a relaxed structure of LaZn3Cu.

Cell and atoms, written as CIF:
```
data_LaZn3Cu
_chemical_formula_sum 'La1 Zn3 Cu1'
_cell_length_a 4.667
_cell_length_b 4.667
_cell_length_c 4.667
_cell_angle_alpha 90.00
_cell_angle_beta 90.00
_cell_angle_gamma 90.00
_symmetry_space_group_name_H-M 'P m -3 m'
_symmetry_Int_Tables_number 221
_symmetry_space_group_name_Hall '-P 4 2 3'
loop_
_atom_site_label
_atom_site_fract_x
_atom_site_fract_y
_atom_site_fract_z
La1 0.000 0.000 0.000
Zn1 0.000 0.500 0.500
Cu1 0.500 0.500 0.500
```

Results
Distance to the lowest polymorph of the same formula: 0.62 eV/f.u.
ΔH_f (0 K): -76 kJ/mol of formula units
D(E_F): 0.829 states/eV per cell
Total magnetic moment: 0.00 μB/cell
Crystal system: cubic
VASP energy: -2.73 eV per atom


No. 8
## La3Zn6Cu5 (PBE)

Data for a relaxed structure of La3Zn6Cu5.

Cell and atoms, written as CIF:
```
data_La3Zn6Cu5
_chemical_formula_sum 'La6 Zn12 Cu10'
_cell_length_a 4.385
_cell_length_b 12.933
_cell_length_c 9.137
_cell_angle_alpha 90.00
_cell_angle_beta 90.00
_cell_angle_gamma 90.00
_symmetry_space_group_name_H-M 'P m m n'
_symmetry_Int_Tables_number 59
loop_
_symmetry_equiv_pos_as_xyz
'x,y,z'
'-x,-y,-z'
'-x+1/2,-y+1/2,z'
'x+1/2,y+1/2,-z'
'x+1/2,-y,-z'
'-x+1/2,y,z'
'-x,y+1/2,-z'
'x,-y+1/2,z'
loop_
_atom_site_label
_atom_site_fract_x
_atom_site_fract_y
_atom_site_fract_z
La1 0.250 0.049 0.242
La2 0.250 0.750 0.269
Zn1 0.250 0.078 0.589
Zn2 0.250 0.250 0.041
Zn3 0.250 0.250 0.432
Zn4 0.250 0.616 0.977
Cu1 0.250 0.093 0.876
Cu2 0.250 0.632 0.550
Cu3 0.250 0.750 0.769
```

Results
ΔH_f (0 K): -350 kJ/mol of formula units
D(E_F): 16.040 states/eV per cell
Total magnetic moment: 0.00 μB/cell
Crystal system: orthorhombic
VASP energy: -3.32 eV per atom


No. 9
## La2ZnCu2 (PBE)

Data for a relaxed structure of La2ZnCu2.

Cell and atoms, written as CIF:
```
data_La2ZnCu2
_chemical_formula_sum 'La8 Zn4 Cu8'
_cell_length_a 9.904
_cell_length_b 5.703
_cell_length_c 8.166
_cell_angle_alpha 90.00
_cell_angle_beta 104.08
_cell_angle_gamma 90.00
_symmetry_space_group_name_H-M 'C 1 2/c 1'
_symmetry_Int_Tables_number 15
loop_
_symmetry_equiv_pos_as_xyz
'x,y,z'
'-x,-y,-z'
'-x,y,-z+1/2'
'x,-y,z+1/2'
'x+1/2,y+1/2,z'
'-x+1/2,-y+1/2,-z'
'-x+1/2,y+1/2,-z+1/2'
'x+1/2,-y+1/2,z+1/2'
loop_
_atom_site_label
_atom_site_fract_x
_atom_site_fract_y
_atom_site_fract_z
La1 0.148 0.155 0.147
Zn1 0.000 0.352 0.750
Cu1 0.136 0.357 0.501
```

Results
ΔH_f (0 K): -105 kJ/mol of formula units
D(E_F): 18.977 states/eV per cell
Total magnetic moment: 0.00 μB/cell
Crystal system: monoclinic
VASP energy: -4.08 eV per atom


No. 10
## La2ZnCu5 (PBE)

Data for a relaxed structure of La2ZnCu5.

Cell and atoms, written as CIF:
```
data_La2ZnCu5
_chemical_formula_sum 'La8 Zn4 Cu20'
_cell_length_a 4.266
_cell_length_b 15.668
_cell_length_c 9.080
_cell_angle_alpha 90.00
_cell_angle_beta 90.00
_cell_angle_gamma 90.00
_symmetry_space_group_name_H-M 'C m c m'
_symmetry_Int_Tables_number 63
_symmetry_space_group_name_Hall '-C 2c 2'
loop_
_atom_site_label
_atom_site_fract_x
_atom_site_fract_y
_atom_site_fract_z
La1 0.000 0.000 0.000
La2 0.000 0.210 0.250
Zn1 0.000 0.440 0.750
Cu1 0.000 0.177 0.614
Cu2 0.000 0.345 0.518
Cu3 0.000 0.400 0.250
```

Results
ΔH_f (0 K): -142 kJ/mol of formula units
D(E_F): 15.440 states/eV per cell
Total magnetic moment: 0.00 μB/cell
Crystal system: orthorhombic
VASP energy: -4.14 eV per atom


No. 11
## La2Zn9Cu6 (PBE)

Data for a relaxed structure of La2Zn9Cu6.

Cell and atoms, written as CIF:
```
data_La2Zn9Cu6
_chemical_formula_sum 'La2 Zn9 Cu6'
_cell_length_a 5.3063
_cell_length_b 5.3063
_cell_length_c 12.4745
_cell_angle_alpha 90.00
_cell_angle_beta 90.00
_cell_angle_gamma 120.00
_symmetry_space_group_name_H-M 'P 6/m m m'
_symmetry_Int_Tables_number 191
_symmetry_space_group_name_Hall '-P 6 2'
loop_
_atom_site_label
_atom_site_fract_x
_atom_site_fract_y
_atom_site_fract_z
La1 0.0000 0.0000 0.1683
Zn1 0.0000 0.5000 0.0000
Zn2 0.0000 0.5000 0.3395
Cu1 0.3333 0.6667 0.1713
Cu2 0.3333 0.6667 0.5000
```

Results
ΔH_f (0 K): -204 kJ/mol of formula units
D(E_F): 6.697 states/eV per cell
Total magnetic moment: 0.00 μB/cell
Crystal system: hexagonal
VASP energy: -2.82 eV per atom


No. 12
## La2Zn5Cu4 (PBE)

Data for a relaxed structure of La2Zn5Cu4.

Cell and atoms, written as CIF:
```
data_La2Zn5Cu4
_chemical_formula_sum 'La4 Zn10 Cu8'
_cell_length_a 12.411
_cell_length_b 5.290
_cell_length_c 7.899
_cell_angle_alpha 90.00
_cell_angle_beta 126.65
_cell_angle_gamma 90.00
_symmetry_space_group_name_H-M 'C 1 2/m 1'
_symmetry_Int_Tables_number 12
loop_
_symmetry_equiv_pos_as_xyz
'x,y,z'
'-x,-y,-z'
'-x,y,-z'
'x,-y,z'
'x+1/2,y+1/2,z'
'-x+1/2,-y+1/2,-z'
'-x+1/2,y+1/2,-z'
'x+1/2,-y+1/2,z'
loop_
_atom_site_label
_atom_site_fract_x
_atom_site_fract_y
_atom_site_fract_z
La1 0.227 0.000 0.284
Zn1 0.000 0.500 0.000
Zn2 0.041 0.249 0.761
Cu1 0.120 0.000 0.557
Cu2 0.232 0.500 0.061
```

Results
Distance to the lowest polymorph of the same formula: 0.76 eV/f.u.
ΔH_f (0 K): -207 kJ/mol of formula units
D(E_F): 9.655 states/eV per cell
Total magnetic moment: 0.00 μB/cell
Crystal system: monoclinic
VASP energy: -3.16 eV per atom